[1]
# AgTePd2 (GGA-PBE, relaxed)
# Total magnetization: 0.000 μB per cell
# Calculated volume: 20.56 A^3/atom
# Formation energy from raw total energies: -40 meV/atom
# Density: 9.05 g cm⁻³
# E: -4.13 eV/atom
data_AgTePd2
_cell_length_a 4.4851
_cell_length_b 14.2868
_cell_length_c 10.2693
_cell_angle_alpha 90.00
_cell_angle_beta 90.00
_cell_angle_gamma 90.00
_space_group_name_H-M_alt 'C m c m'
_space_group_IT_number 63
_space_group_name_Hall '-C 2c 2'
loop_
_atom_site_label
_atom_site_fract_x
_atom_site_fract_y
_atom_site_fract_z
Ag1 0.0000 0.0000 0.0000
Ag2 0.0000 0.2145 0.2500
Te1 0.0000 0.3696 0.5015
Pd1 0.0000 0.1977 0.6130
Pd2 0.0000 0.3973 0.7500
Pd3 0.0000 0.4109 0.2500


[2]
# AgTe2Pd (GGA-PBE, relaxed)
# Total magnetization: 0.000 μB per cell
# Calculated volume: 26.76 A^3/atom
# Formation energy from raw total energies: -164 meV/atom
# Density: 7.28 g cm⁻³
# E: -3.75 eV/atom
data_AgTe2Pd
_cell_length_a 4.0407
_cell_length_b 4.4649
_cell_length_c 11.8647
_cell_angle_alpha 90.00
_cell_angle_beta 90.00
_cell_angle_gamma 90.00
_space_group_name_H-M_alt 'I m m m'
_space_group_IT_number 71
_space_group_name_Hall '-I 2 2'
loop_
_atom_site_label
_atom_site_fract_x
_atom_site_fract_y
_atom_site_fract_z
Ag1 0.0000 0.0000 0.0000
Te1 0.0000 0.5000 0.1482
Pd1 0.0000 0.0000 0.5000


[3]
# Ag5TePd6 (GGA-PBE, relaxed)
# Total magnetization: 0.000 μB per cell
# Calculated volume: 17.01 A^3/atom
# Formation energy from raw total energies: -118 meV/atom
# Density: 10.62 g cm⁻³
# E: -4.16 eV/atom
data_Ag5TePd6
_cell_length_a 8.5635
_cell_length_b 12.7499
_cell_length_c 4.3309
_cell_angle_alpha 90.00
_cell_angle_beta 120.31
_cell_angle_gamma 90.00
_space_group_name_H-M_alt 'C 1 2/m 1'
_space_group_IT_number 12
_space_group_name_Hall '-C 2y'
loop_
_atom_site_label
_atom_site_fract_x
_atom_site_fract_y
_atom_site_fract_z
Ag1 0.0000 0.0000 0.0000
Ag2 0.0000 0.1583 0.5000
Ag3 0.0000 0.3116 0.0000
Te1 0.0000 0.5000 0.5000
Pd1 0.2259 0.5000 0.2260
Pd2 0.2350 0.3393 0.7348


[4]
# AgTe6Pd5 (GGA-PBE, relaxed)
# Total magnetization: 0.000 μB per cell
# Calculated volume: 22.51 A^3/atom
# Formation energy from raw total energies: -240 meV/atom
# Density: 8.64 g cm⁻³
# E: -4.21 eV/atom
data_AgTe6Pd5
_cell_length_a 6.9356
_cell_length_b 12.0142
_cell_length_c 6.8924
_cell_angle_alpha 90.00
_cell_angle_beta 109.82
_cell_angle_gamma 90.00
_space_group_name_H-M_alt 'C 1 2/m 1'
_space_group_IT_number 12
_space_group_name_Hall '-C 2y'
loop_
_atom_site_label
_atom_site_fract_x
_atom_site_fract_y
_atom_site_fract_z
Ag1 0.0000 0.0000 0.0000
Te1 0.2374 0.5000 0.2620
Te2 0.2381 0.3249 0.7435
Pd1 0.0000 0.1626 0.5000
Pd2 0.0000 0.3326 0.0000
Pd3 0.0000 0.5000 0.5000


[5]
# AgTe2Pd (GGA-PBE, relaxed)
# Total magnetization: 0.000 μB per cell
# Calculated volume: 23.77 A^3/atom
# Formation energy from raw total energies: 224 meV/atom
# Density: 8.20 g cm⁻³
# E: -3.36 eV/atom
data_AgTe2Pd
_cell_length_a 3.1614
_cell_length_b 3.1614
_cell_length_c 32.9526
_cell_angle_alpha 90.00
_cell_angle_beta 90.00
_cell_angle_gamma 120.00
_space_group_name_H-M_alt 'R -3 m'
_space_group_IT_number 166
_space_group_name_Hall '-R 3 2"'
loop_
_atom_site_label
_atom_site_fract_x
_atom_site_fract_y
_atom_site_fract_z
Ag1 0.0000 0.0000 0.0000
Te1 0.0000 0.0000 0.4208
Pd1 0.0000 0.0000 0.5000


[6]
# AgTePd2 (GGA-PBE, relaxed)
# Total magnetization: 0.000 μB per cell
# Calculated volume: 19.42 A^3/atom
# Formation energy from raw total energies: -22 meV/atom
# Density: 9.58 g cm⁻³
# E: -4.12 eV/atom
data_AgTePd2
_cell_length_a 3.3610
_cell_length_b 3.3610
_cell_length_c 23.8227
_cell_angle_alpha 90.00
_cell_angle_beta 90.00
_cell_angle_gamma 120.00
_space_group_name_H-M_alt 'R 3 m'
_space_group_IT_number 160
_space_group_name_Hall 'R 3 -2"'
loop_
_atom_site_label
_atom_site_fract_x
_atom_site_fract_y
_atom_site_fract_z
Ag1 0.0000 0.0000 0.0000
Te1 0.0000 0.0000 0.1672
Pd1 0.0000 0.0000 0.5810
Pd2 0.0000 0.0000 0.7529


[7]
# Ag5Te6Pd (GGA-PBE, relaxed)
# Total magnetization: 0.000 μB per cell
# Calculated volume: 25.11 A^3/atom
# Formation energy from raw total energies: -65 meV/atom
# Density: 7.78 g cm⁻³
# E: -3.26 eV/atom
data_Ag5Te6Pd
_cell_length_a 7.1537
_cell_length_b 12.4568
_cell_length_c 7.2504
_cell_angle_alpha 90.00
_cell_angle_beta 111.12
_cell_angle_gamma 90.00
_space_group_name_H-M_alt 'C 1 2/m 1'
_space_group_IT_number 12
_space_group_name_Hall '-C 2y'
loop_
_atom_site_label
_atom_site_fract_x
_atom_site_fract_y
_atom_site_fract_z
Ag1 0.0000 0.0000 0.0000
Ag2 0.0000 0.1717 0.5000
Ag3 0.0000 0.3381 0.0000
Te1 0.2243 0.3429 0.7529
Te2 0.2470 0.5000 0.2914
Pd1 0.0000 0.5000 0.5000


[8]
# AgTe2Pd (GGA-PBE, relaxed)
# Total magnetization: 0.000 μB per cell
# Calculated volume: 29.23 A^3/atom
# Formation energy from raw total energies: -98 meV/atom
# Density: 6.67 g cm⁻³
# E: -3.68 eV/atom
data_AgTe2Pd
_cell_length_a 4.0711
_cell_length_b 4.0711
_cell_length_c 24.4368
_cell_angle_alpha 90.00
_cell_angle_beta 90.00
_cell_angle_gamma 120.00
_space_group_name_H-M_alt 'R -3 m'
_space_group_IT_number 166
_space_group_name_Hall '-R 3 2"'
loop_
_atom_site_label
_atom_site_fract_x
_atom_site_fract_y
_atom_site_fract_z
Ag1 0.0000 0.0000 0.0000
Te1 0.0000 0.0000 0.1098
Pd1 0.0000 0.0000 0.5000


Which of these has the lowest density? number 8


Look up the E of the first one. -4.13 eV/atom